Record 1
Computed, not measured: a geometry-optimized Zr2Ga2Au structure at the PBE level of DFT.

Computed properties:
density of states at the Fermi level = 0.3584 states/eV per atom
ΔE_f = -592 meV/atom
SG = C2/m, No. 12

a b c (Å): 5.599 5.599 9.841
angles (deg): 114.47 114.47 43.73
Fractional coordinates of all 10 atoms:
Zr: 0.007 0.007 0.185
Zr: 0.182 0.182 0.598
Zr: 0.818 0.818 0.402
Zr: 0.993 0.993 0.815
Ga: 0.367 0.367 0.936
Ga: 0.462 0.462 0.609
Ga: 0.538 0.538 0.391
Ga: 0.633 0.633 0.064
Au: 0.285 0.285 0.160
Au: 0.715 0.715 0.840

=====

Record 2
Computed, not measured: a geometry-optimized BaTaV3 structure at the PBE level of DFT.

Computed properties:
density of states at the Fermi level = 2.6072 states/eV per atom
ΔE_f = 1257 meV/atom
SG = Pm-3m, No. 221

a b c (Å): 5.004 5.004 5.004
angles (deg): 90.00 90.00 90.00
Fractional coordinates of all 5 atoms:
Ba: 0.000 0.000 0.000
Ta: 0.500 0.500 0.500
V: 0.000 0.500 0.500
V: 0.500 0.000 0.500
V: 0.500 0.500 0.000

=====

Which value of ΔE_f does entry 2 give? 1257 meV/atom